Ca3Sn5Te12, relaxed, DFT PBE-GGA; crystal system = cubic; uncorrected formation energy = -10.34 eV per formula unit
1.0
15.657 0.000 0.000
-5.219 14.761 0.000
-5.219 -7.381 12.784
Ca Te Sn
12 48 20
direct
0.125 0.250 0.875 Ca
0.750 0.375 0.125 Ca
0.125 0.875 0.750 Ca
0.375 0.750 0.625 Ca
0.625 0.250 0.375 Ca
0.625 0.375 0.750 Ca
0.750 0.875 0.625 Ca
0.875 0.125 0.250 Ca
0.250 0.625 0.875 Ca
0.250 0.125 0.375 Ca
0.875 0.750 0.125 Ca
0.375 0.625 0.250 Ca
0.088 0.913 0.133 Te
0.720 0.133 0.045 Te
0.913 0.826 0.780 Te
0.087 0.912 0.367 Te
0.087 0.174 0.220 Te
0.826 0.913 0.280 Te
0.955 0.367 0.280 Te
0.867 0.280 0.455 Te
0.367 0.955 0.780 Te
0.780 0.326 0.913 Te
0.913 0.088 0.633 Te
0.220 0.545 0.633 Te
0.587 0.720 0.674 Te
0.280 0.867 0.955 Te
0.955 0.588 0.174 Te
0.674 0.220 0.587 Te
0.720 0.587 0.174 Te
0.545 0.326 0.912 Te
0.174 0.088 0.955 Te
0.912 0.826 0.545 Te
0.045 0.633 0.720 Te
0.133 0.413 0.088 Te
0.174 0.087 0.720 Te
0.674 0.455 0.588 Te
0.045 0.412 0.826 Te
0.326 0.780 0.413 Te
0.455 0.674 0.088 Te
0.588 0.633 0.413 Te
0.633 0.588 0.913 Te
0.326 0.545 0.412 Te
0.455 0.780 0.867 Te
0.220 0.674 0.087 Te
0.867 0.587 0.912 Te
0.912 0.087 0.867 Te
0.412 0.367 0.587 Te
0.280 0.413 0.826 Te
0.588 0.955 0.674 Te
0.780 0.455 0.367 Te
0.587 0.867 0.412 Te
0.413 0.280 0.326 Te
0.367 0.412 0.087 Te
0.133 0.720 0.545 Te
0.412 0.045 0.326 Te
0.088 0.174 0.455 Te
0.545 0.220 0.133 Te
0.633 0.045 0.220 Te
0.826 0.912 0.045 Te
0.413 0.133 0.588 Te
0.875 0.250 0.625 Sn
0.750 0.625 0.375 Sn
0.250 0.875 0.125 Sn
0.000 0.500 0.500 Sn
0.500 0.500 0.500 Sn
0.625 0.750 0.875 Sn
0.000 0.500 0.000 Sn
0.125 0.375 0.250 Sn
0.375 0.250 0.125 Sn
0.375 0.125 0.750 Sn
0.250 0.375 0.625 Sn
0.500 0.000 0.000 Sn
0.500 0.500 0.000 Sn
0.125 0.750 0.375 Sn
0.625 0.875 0.250 Sn
0.750 0.125 0.875 Sn
0.500 0.000 0.500 Sn
0.875 0.625 0.750 Sn
0.000 0.000 0.000 Sn
0.000 0.000 0.500 Sn